VASP calculation (PBE) on crystalline Li2CaMgF6 at its relaxed geometry.

Summary:
V, Å³/cell: 116.5
Raw formation energy, eV per atom: -3.387

Cell and atoms, written as extended XYZ:
```
10
Lattice="5.296 0.000 0.001 2.648 4.586 0.000 2.648 1.529 4.796" Properties=species:S:1:pos:R:3 pbc="T T T"
Ca 7.943 4.586 2.738
F 4.369 4.610 1.186
F 5.933 4.468 3.691
F 3.757 2.903 3.689
F 6.199 1.802 3.689
F 7.104 3.084 1.186
F 4.414 1.478 1.186
Li 2.648 1.529 4.483
Li 5.295 3.057 1.991
Mg 2.648 1.529 0.216
```